1.
Density functional theory data (PBE-GGA) for an optimized crystal structure of Cs2Sn2Te2S.

Summary:
Uncorrected formation energy   -463 kJ/mol of formula units
Theoretical density   4.04 g/cm3
Spin magnetization   0.0 Bohr magnetons per cell
Total DFT energy (no corrections)   -3.5604 eV/atom

a = 6.2242 Å, b = 7.7542 Å, c = 7.7678 Å
α = 107.25°, β = 113.55°, γ = 90.60°
Closest atoms and distances in Å follow each position.
Space group P-1 (No. 2)
One atom of each set of equivalent atoms:
Cs: 0.1101 0.2621 0.2139 x2  2 S 3.76, 3 Te 3.91-4.09, 1 Sn 3.98, 1 Cs 4.20
Sn: 0.3553 0.1278 0.7070 x2  1 S 2.59
Te: 0.1778 0.7942 0.3612 x2  3 Sn 2.93-3.24
S: 0.5000 0.0000 0.0000 x1  2 Sn 2.59



2.
Density functional theory data (PBE-GGA) for an optimized crystal structure of Ac3Pd2N.

Summary:
Uncorrected formation energy   -453 kJ/mol of formula units
Theoretical density   9.02 g/cm3
Spin magnetization   0.0 Bohr magnetons per cell
Energy relative to the lowest polymorph listed for this composition   5.4 kJ/mol of atoms
Total DFT energy (no corrections)   -5.9546 eV/atom

a = 13.9157 Å, b = 6.2383 Å, c = 8.2082 Å
α = 90.00°, β = 110.30°, γ = 90.00°
Closest atoms and distances in Å follow each position.
Space group C2/c (No. 15)
One atom of each set of equivalent atoms:
Ac: 0.0000 0.0438 0.2500 x4  1 N 2.46
Ac: 0.1444 0.4864 0.0312 x8  1 N 2.52
Pd: 0.1730 0.0165 0.6058 x8  6 Ac 3.05-3.19
N: 0.0000 0.4389 0.2500 x4  3 Ac 2.46-2.52



> Among the records above, which one has the highest uncorrected formation energy?

Ac3Pd2N



> Among the records above, which one has the highest theoretical density?

Ac3Pd2N



> What is the formula in the second record?

Ac3Pd2N



Copy entry 1 word for word.
Density functional theory data (PBE-GGA) for an optimized crystal structure of Cs2Sn2Te2S.

Summary:
Uncorrected formation energy   -463 kJ/mol of formula units
Theoretical density   4.04 g/cm3
Spin magnetization   0.0 Bohr magnetons per cell
Total DFT energy (no corrections)   -3.5604 eV/atom

a = 6.2242 Å, b = 7.7542 Å, c = 7.7678 Å
α = 107.25°, β = 113.55°, γ = 90.60°
Closest atoms and distances in Å follow each position.
Space group P-1 (No. 2)
One atom of each set of equivalent atoms:
Cs: 0.1101 0.2621 0.2139 x2  2 S 3.76, 3 Te 3.91-4.09, 1 Sn 3.98, 1 Cs 4.20
Sn: 0.3553 0.1278 0.7070 x2  1 S 2.59
Te: 0.1778 0.7942 0.3612 x2  3 Sn 2.93-3.24
S: 0.5000 0.0000 0.0000 x1  2 Sn 2.59